Computed, not measured: a crystal of AlCrInPd2 relaxed with PBEsol at the SCAN level of DFT.

It has space group P4/mmm (No. 123), with a = 4.546 Å, b = 4.546 Å, c = 4.610 Å, α = 90.00°, β = 90.00° and γ = 90.00°. The asymmetric unit holds Al at (0.000, 0.000, 0.000), Cr at (0.000, 0.000, 0.500), In at (0.500, 0.500, 0.000) and Pd at (0.000, 0.500, 0.500).

As for the formation energy: 733 meV/atom. Its total energy is -121.4 eV/cell.